Record 1
VASP calculation (GGA-PBE) on a relaxed structure of CaAs2RuRh.

## Properties
N(E_F) = 1.8 states/eV/f.u.
raw total energy = -31.56 eV/cell
energy of formation = -351 kJ/mol of formula units

Cell and atoms, written as POSCAR:
```
CaAs2RuRh
1.0
-3.920 -0.814 -1.025
1.187 -3.574 -1.702
0.637 -0.331 6.158
Ca Ru Rh As
1 1 1 2
Direct
0.000 0.000 0.000
0.750 0.250 0.500
0.250 0.750 0.500
0.629 0.629 0.258
0.371 0.371 0.742
```



Record 2
VASP calculation (GGA-PBE) on a relaxed structure of CaAsRhS2.

## Properties
N(E_F) = 5.2 states/eV/f.u.
raw total energy = -17.77 eV/cell

Cell and atoms, written as POSCAR:
```
CaAsRhS2
1.0
5.091 0.000 0.000
0.000 4.903 0.000
0.000 0.000 5.091
Ca S As Rh
1 2 1 1
Direct
0.000 0.000 0.000
0.000 0.000 0.500
0.500 0.000 0.000
0.500 0.500 0.500
0.000 0.500 0.000
```



Record 3
VASP calculation (GGA-PBE) on a relaxed structure of Ca2SbAs3Rh4.

## Properties
N(E_F) = 4.8 states/eV/f.u.
raw total energy = -58.73 eV/cell

Cell and atoms, written as POSCAR:
```
Ca2SbAs3Rh4
1.0
4.258 0.000 0.000
0.000 4.258 0.000
0.000 0.000 10.536
Rh As Ca Sb
4 3 2 1
Direct
0.000 0.500 0.359
0.500 0.500 0.000
0.500 0.000 0.641
0.000 0.000 0.000
0.500 0.000 0.871
0.000 0.000 0.500
0.000 0.500 0.129
0.500 0.000 0.242
0.000 0.500 0.758
0.500 0.500 0.500
```



Record 4
VASP calculation (GGA-PBE) on a relaxed structure of Ca2SbAsRh6.

## Properties
N(E_F) = 9.3 states/eV/f.u.
raw total energy = -60.85 eV/cell

Cell and atoms, written as POSCAR:
```
Ca2SbAsRh6
1.0
6.178 -0.875 -1.091
-1.005 6.307 1.283
1.718 3.584 5.163
Sb Rh Ca As
1 6 2 1
Direct
0.000 0.000 0.000
0.064 0.254 0.189
0.311 0.307 0.490
0.311 0.802 0.996
0.689 0.198 0.004
0.689 0.693 0.510
0.936 0.746 0.811
0.747 0.248 0.501
0.253 0.752 0.499
0.500 0.500 0.000
```



Record 5
VASP calculation (GGA-PBE) on a relaxed structure of CaSbAsRh2.

## Properties
N(E_F) = 1.1 states/eV/f.u.
raw total energy = -25.63 eV/cell

Cell and atoms, written as POSCAR:
```
CaSbAsRh2
1.0
4.634 0.000 0.000
0.000 4.634 0.000
0.000 0.000 5.429
Ca Rh Sb As
1 2 1 1
Direct
0.500 0.500 0.500
0.000 0.500 0.000
0.500 0.000 0.000
0.000 0.000 0.500
0.000 0.000 0.000
```



Record 6
VASP calculation (GGA-PBE) on a relaxed structure of Ca2Sb3AsRh4.

## Properties
N(E_F) = 5.4 states/eV/f.u.
raw total energy = -57.30 eV/cell

Cell and atoms, written as POSCAR:
```
Ca2Sb3AsRh4
1.0
4.409 0.000 0.000
0.000 4.409 0.000
0.000 0.000 10.763
Ca Rh As Sb
2 4 1 3
Direct
0.500 0.000 0.258
0.000 0.500 0.742
0.500 0.500 0.000
0.000 0.000 0.000
0.000 0.500 0.376
0.500 0.000 0.624
0.500 0.500 0.500
0.000 0.500 0.136
0.500 0.000 0.864
0.000 0.000 0.500
```



Record 7
VASP calculation (GGA-PBE) on a relaxed structure of Ca3SbAs2Rh9.

## Properties
N(E_F) = 14.8 states/eV/f.u.
raw total energy = -89.53 eV/cell

Cell and atoms, written as POSCAR:
```
Ca3SbAs2Rh9
1.0
-1.897 1.614 -5.805
-3.843 -3.298 3.776
-3.448 7.789 3.293
Ca Rh As Sb
3 9 2 1
Direct
0.000 0.000 0.000
0.333 0.667 0.714
0.667 0.333 0.286
0.859 0.718 0.731
0.141 0.859 0.269
0.500 0.000 0.000
0.141 0.282 0.269
0.718 0.859 0.269
0.500 0.500 0.000
0.282 0.141 0.731
0.000 0.500 0.000
0.859 0.141 0.731
0.667 0.333 0.831
0.333 0.667 0.169
0.000 0.000 0.500
```



Record 8
VASP calculation (GGA-PBE) on a relaxed structure of CaSc2AsRh.

## Properties
N(E_F) = 6.3 states/eV/f.u.
raw total energy = -28.17 eV/cell
energy of formation = -145 kJ/mol of formula units

Cell and atoms, written as POSCAR:
```
CaSc2AsRh
1.0
5.003 0.000 0.000
0.000 4.910 0.000
0.000 0.000 5.003
As Rh Sc Ca
1 1 2 1
Direct
0.000 0.500 0.000
0.000 0.000 0.000
0.000 0.000 0.500
0.500 0.000 0.000
0.500 0.500 0.500
```



Question: Which formula does entry 6 have?
Answer: Ca2Sb3AsRh4